# GGA-PBEsol HfTi3Pb, relaxed
data_HfTi3Pb
_cell_length_a 4.802
_cell_length_b 4.802
_cell_length_c 4.802
_cell_angle_alpha 90.00
_cell_angle_beta 90.00
_cell_angle_gamma 90.00
_space_group_name_H-M_alt 'P m -3 m'
_space_group_IT_number 221
_space_group_name_Hall '-P 4 2 3'
loop_
_atom_site_label
_atom_site_fract_x
_atom_site_fract_y
_atom_site_fract_z
Hf1 0.000 0.000 0.000
Ti1 0.000 0.000 0.500
Pb1 0.500 0.500 0.500
# DOS(E_F): 1.40 states/eV per atom
# total magnetization: 0.2587 μB per atom
# calculated total energy: -6.86 eV/atom

# GGA-PBEsol NaI2BrO, relaxed
data_NaI2BrO
_cell_length_a 5.911
_cell_length_b 5.911
_cell_length_c 3.989
_cell_angle_alpha 90.00
_cell_angle_beta 90.00
_cell_angle_gamma 90.00
_space_group_name_H-M_alt 'P 4/m m m'
_space_group_IT_number 123
_space_group_name_Hall '-P 4 2'
loop_
_atom_site_label
_atom_site_fract_x
_atom_site_fract_y
_atom_site_fract_z
Na1 0.000 0.000 0.000
I1 0.000 0.500 0.500
Br1 0.500 0.500 0.500
O1 0.500 0.500 0.000
# energy relative to the elements, uncorrected: -95.9 meV per atom
# DOS(E_F): 0.57 states/eV per atom
# total magnetization: 0.0003 μB per atom